A relaxed structure of Tc2Pb, computed with PBE.

Structure (CIF):
```
data_Tc2Pb
_chemical_formula_sum 'Tc8 Pb4'
_cell_length_a 4.006
_cell_length_b 4.006
_cell_length_c 15.186
_cell_angle_alpha 90.00
_cell_angle_beta 90.00
_cell_angle_gamma 90.00
_symmetry_space_group_name_H-M 'I 41/a m d'
_symmetry_Int_Tables_number 141
loop_
_symmetry_equiv_pos_as_xyz
'x,y,z'
'-x,-y,-z'
'-y+1/4,x+3/4,z+1/4'
'y+1/4,-x+3/4,-z+1/4'
'-x+1/2,-y,z+1/2'
'x+1/2,y,-z+1/2'
'y+1/4,-x+1/4,z+3/4'
'-y+1/4,x+1/4,-z+3/4'
'x,-y,-z'
'-x,y,z'
'-y+1/4,-x+1/4,-z+3/4'
'y+1/4,x+1/4,z+3/4'
'-x+1/2,y,-z+1/2'
'x+1/2,-y,z+1/2'
'y+1/4,x+3/4,-z+1/4'
'-y+1/4,-x+3/4,z+1/4'
'x+1/2,y+1/2,z+1/2'
'-x+1/2,-y+1/2,-z+1/2'
'-y+3/4,x+1/4,z+3/4'
'y+3/4,-x+1/4,-z+3/4'
'-x,-y+1/2,z'
'x,y+1/2,-z'
'y+3/4,-x+3/4,z+1/4'
'-y+3/4,x+3/4,-z+1/4'
'x+1/2,-y+1/2,-z+1/2'
'-x+1/2,y+1/2,z+1/2'
'-y+3/4,-x+3/4,-z+1/4'
'y+3/4,x+3/4,z+1/4'
'-x,y+1/2,-z'
'x,-y+1/2,z'
'y+3/4,x+1/4,-z+3/4'
'-y+3/4,-x+1/4,z+3/4'
loop_
_atom_site_label
_atom_site_type_symbol
_atom_site_fract_x
_atom_site_fract_y
_atom_site_fract_z
_atom_site_occupancy
Tc1 Tc 0.000 0.250 0.293 1
Pb1 Pb 0.000 0.250 0.875 1
```

Raw total energy   -7.350 eV per atom
Total magnetization   0.0000 μB per atom
E above lowest polymorph   126 kJ/mol of formula units


A relaxed structure of GdMg3Co, computed with PBE.

Structure (CIF):
```
data_GdMg3Co
_chemical_formula_sum 'Gd1 Mg3 Co1'
_cell_length_a 4.833
_cell_length_b 4.833
_cell_length_c 4.833
_cell_angle_alpha 90.00
_cell_angle_beta 90.00
_cell_angle_gamma 90.00
_symmetry_space_group_name_H-M 'P m -3 m'
_symmetry_Int_Tables_number 221
_symmetry_space_group_name_Hall '-P 4 2 3'
loop_
_atom_site_label
_atom_site_type_symbol
_atom_site_fract_x
_atom_site_fract_y
_atom_site_fract_z
_atom_site_occupancy
Gd1 Gd 0.000 0.000 0.000 1
Mg1 Mg 0.000 0.500 0.500 1
Co1 Co 0.500 0.500 0.500 1
```

Raw total energy   -5.077 eV per atom
Total magnetization   1.5637 μB per atom


A relaxed structure of Cd6Ag5Au, computed with PBE.

Structure (CIF):
```
data_Cd6Ag5Au
_chemical_formula_sum 'Cd12 Ag10 Au2'
_cell_length_a 4.756
_cell_length_b 14.271
_cell_length_c 6.853
_cell_angle_alpha 90.00
_cell_angle_beta 90.64
_cell_angle_gamma 90.00
_symmetry_space_group_name_H-M 'C 1 2/m 1'
_symmetry_Int_Tables_number 12
loop_
_symmetry_equiv_pos_as_xyz
'x,y,z'
'-x,-y,-z'
'-x,y,-z'
'x,-y,z'
'x+1/2,y+1/2,z'
'-x+1/2,-y+1/2,-z'
'-x+1/2,y+1/2,-z'
'x+1/2,-y+1/2,z'
loop_
_atom_site_label
_atom_site_type_symbol
_atom_site_fract_x
_atom_site_fract_y
_atom_site_fract_z
_atom_site_occupancy
Cd1 Cd 0.000 0.166 0.249 1
Cd2 Cd 0.001 0.500 0.747 1
Ag1 Ag 0.000 0.000 0.000 1
Ag2 Ag 0.000 0.330 0.500 1
Ag3 Ag 0.000 0.334 0.000 1
Au1 Au 0.000 0.000 0.500 1
```

Raw total energy   -1.993 eV per atom
Total magnetization   0.0000 μB per atom
E above lowest polymorph   5 kJ/mol of formula units


no.,energy of formation from the pure elements (eV/atom)
1,0.797
2,0.117
3,-0.074